Record 1
LaAlCr2 GGA-PBEsol relaxed; energy relative to the elements = 0.413 eV/atom; density of states at the Fermi level = 1.34 states/eV/f.u.
1.0
4.803 0.000 0.000
2.401 4.159 0.000
2.401 1.386 3.922
La Cr Al
1 2 1
direct
0.500 0.500 0.500
0.000 0.000 0.000
0.750 0.750 0.750
0.250 0.250 0.250



Record 2
BeSiCl GGA-PBEsol relaxed; energy relative to the elements, uncorrected = -0.03 eV/atom; density of states at the Fermi level = 1.47 states/eV/f.u.
1.0
-0.968 2.419 1.364
1.320 -2.129 1.542
6.054 3.005 -1.032
Cl Si Be
1 1 1
direct
0.333 0.667 0.786
0.667 0.333 0.247
0.000 0.000 0.967



Record 3
Mn2BeIr GGA-PBEsol relaxed; energy relative to the elements = -0.208 eV/atom; density of states at the Fermi level = 2.85 states/eV/f.u.
1.0
-0.354 -2.351 -1.397
-1.354 -1.654 3.125
-2.877 3.160 -1.867
Mn Ir Be
2 1 1
direct
0.238 0.238 0.476
0.762 0.762 0.524
0.000 0.500 0.000
0.500 0.000 0.000



Record 4
LaSc2Sn2 GGA-PBEsol relaxed; energy relative to the elements = -0.663 eV/atom; density of states at the Fermi level = 4.80 states/eV/f.u.
1.0
-3.568 2.706 0.590
-2.517 -2.765 -2.534
1.379 -3.320 6.279
Sc La Sn
2 1 2
direct
0.750 0.250 0.500
0.250 0.750 0.500
0.000 0.000 0.000
0.391 0.391 0.782
0.609 0.609 0.218



Record 5
TaAl2Zn GGA-PBEsol relaxed; energy relative to the elements = -0.013 eV/atom; density of states at the Fermi level = 1.42 states/eV/f.u.
1.0
2.907 0.000 0.000
1.453 2.517 0.000
1.452 0.838 8.876
Ta Al Zn
1 2 1
direct
0.501 0.501 0.498
0.998 0.998 0.006
0.750 0.750 0.751
0.252 0.252 0.244



Record 6
SmGd3 GGA-PBEsol relaxed; energy relative to the elements = 0.014 eV/atom; density of states at the Fermi level = 7.19 states/eV/f.u.
1.0
-0.764 -4.963 2.671
3.846 2.369 5.501
-7.044 1.020 -0.120
Gd Sm
6 2
direct
0.750 0.833 0.667
0.250 0.667 0.833
0.250 0.167 0.333
0.750 0.833 0.167
0.250 0.167 0.833
0.750 0.333 0.167
0.750 0.333 0.667
0.250 0.667 0.333



Record 7
FeAs2SeO GGA-PBEsol relaxed; energy relative to the elements, uncorrected = 0.51 eV/atom; density of states at the Fermi level = 5.56 states/eV/f.u.
1.0
-1.360 -2.914 2.713
3.720 0.092 1.963
-1.525 3.260 2.737
Fe As O Se
1 2 1 1
direct
0.500 0.500 0.500
0.500 0.000 0.000
0.000 0.500 0.000
0.000 0.000 0.000
0.000 0.000 0.500



Record 8
LaPtRh3 GGA-PBEsol relaxed; energy relative to the elements = 0.576 eV/atom; density of states at the Fermi level = 8.07 states/eV/f.u.
1.0
4.755 0.000 0.000
0.000 4.755 0.000
0.000 0.000 4.755
Rh Pt La
3 1 1
direct
0.000 0.000 0.500
0.000 0.500 0.000
0.500 0.000 0.000
0.000 0.000 0.000
0.500 0.500 0.500



The highest density of states at the Fermi level belongs to which entry? LaPtRh3